Compound: Rb2Na4CdPb2
Source: Alexandria
Functional: PBE
Structure: optimized geometry

Cell: 14.4577 8.2962 5.8686 Å, 90.00 100.16 90.00°
Closest atoms and distances in Å follow each position.
Space group C2/m (No. 12)
Unique sites:
Rb  0.1210  0.0000  0.2161 [4 per cell]  6 Na 3.68-3.93, 1 Pb 3.80, 1 Rb 3.94
Na  0.1485  0.3012  0.7145 [8 per cell]  1 Na 3.30, 1 Cd 3.38, 3 Pb 3.38-3.46, 1 Rb 3.68
Cd  0.0000  0.5000  0.0000 [2 per cell]  2 Pb 2.88
Pb  0.1917  0.5000  0.2412 [4 per cell]  1 Cd 2.88

Summary:
Formation energy ... -0.077 eV/atom
Calculated volume ... 38.49 Å³/atom
Calculated density ... 3785 kg/m3
D(E_F) ... 5.44 states/eV per cell

***

Compound: RbNaCdPb
Source: Alexandria
Functional: PBE
Structure: optimized geometry

Cell: 8.0043 8.0043 8.0043 Å, 90.00 90.00 90.00°
Closest atoms and distances in Å follow each position.
Space group F-43m (No. 216)
Unique sites:
Rb  0.0000  0.0000  0.0000 [4 per cell]  4 Cd 3.47, 4 Na 3.47
Na  0.2500  0.2500  0.7500 [4 per cell]  4 Pb 3.47, 4 Rb 3.47
Cd  0.2500  0.2500  0.2500 [4 per cell]  4 Pb 3.47, 4 Rb 3.47
Pb  0.0000  0.0000  0.5000 [4 per cell]  4 Na 3.47, 4 Cd 3.47

Summary:
Formation energy ... -0.058 eV/atom
Calculated volume ... 32.05 Å³/atom
Calculated density ... 5544 kg/m3
D(E_F) ... 5.37 states/eV per cell

***

Compound: RbNa2CdPb
Source: Alexandria
Functional: PBE
Structure: optimized geometry

Cell: 6.0234 6.0234 5.6933 Å, 90.00 90.00 90.00°
Closest atoms and distances in Å follow each position.
Space group P4/mmm (No. 123)
Unique sites:
Rb  0.0000  0.0000  0.0000 [1 per cell]  8 Na 4.14, 4 Pb 4.26
Na  0.0000  0.5000  0.5000 [2 per cell]  2 Cd 3.01
Cd  0.5000  0.5000  0.5000 [1 per cell]  2 Pb 2.85, 4 Na 3.01
Pb  0.5000  0.5000  0.0000 [1 per cell]  2 Cd 2.85

Summary:
Formation energy ... 0.022 eV/atom
Calculated volume ... 41.31 Å³/atom
Calculated density ... 3626 kg/m3
D(E_F) ... 2.72 states/eV per cell
ΔE to the lowest computed polymorph ... 44.5 meV per atom

***

Compound: NaCdRhPb2
Source: Alexandria
Functional: PBE
Structure: optimized geometry

Cell: 5.2848 5.2848 5.2983 Å, 90.00 90.00 90.00°
Closest atoms and distances in Å follow each position.
Space group P4/mmm (No. 123)
Unique sites:
Na  0.0000  0.0000  0.0000 [1 per cell]  4 Cd 3.74, 8 Pb 3.74
Cd  0.5000  0.5000  0.0000 [1 per cell]  2 Rh 2.65
Rh  0.5000  0.5000  0.5000 [1 per cell]  4 Pb 2.64, 2 Cd 2.65
Pb  0.0000  0.5000  0.5000 [2 per cell]  2 Rh 2.64

Summary:
Formation energy ... -0.004 eV/atom
Calculated volume ... 29.60 Å³/atom
Calculated density ... 7324 kg/m3
D(E_F) ... 2.91 states/eV per cell